(1)
18
Lattice="5.4771 0.0000 0.0000 -2.7385 4.7433 0.0000 0.0000 0.0000 8.9518" Properties=species:S:1:pos:R:3 comment="NpTaZnO6 (PBE-GGA, optimized geometry)" e_form_raw_ev_per_atom=-2.41 dos_at_fermi_per_ev_fu=6.87 total_magnetization_mub_per_fu=2.00 spacegroup="No. 163" volume_a3_per_cell=232.6 pbc="T T T"
Np 0.0000 3.1622 2.2380
Np 2.7385 1.5811 6.7139
Ta 0.0000 3.1622 6.7139
Ta 2.7385 1.5811 2.2380
Zn 0.0000 0.0000 0.0000
Zn 0.0000 0.0000 4.4759
O -0.8740 1.6877 5.6601
O -1.7139 3.1425 7.7676
O 0.8740 1.6877 7.7676
O -0.8399 4.6564 5.6601
O 1.8986 0.0869 1.1842
O 1.0246 1.6008 3.2917
O 1.7139 3.1425 5.6601
O 0.8399 4.6564 7.7676
O 3.5785 0.0869 3.2917
O 1.8645 3.0556 1.1842
O 4.4525 1.6008 1.1842
O 3.6126 3.0556 3.2917

(2)
8
Lattice="2.6980 -5.0030 0.0000 2.6980 5.0030 0.0000 -1.8571 0.0000 5.0195" Properties=species:S:1:pos:R:3 comment="TbNpO6 (PBE-GGA, optimized geometry)" e_form_raw_ev_per_atom=-2.38 total_magnetization_mub_per_fu=0.00 spacegroup="No. 5" volume_a3_per_cell=135.5 pbc="T T T"
Tb 0.0000 0.0000 0.0000
Np 1.7694 -1.9302 2.5098
O 1.2688 3.6179 3.0173
O 2.2700 3.6179 2.0023
O 1.8556 -0.6248 1.1003
O 1.6832 -0.6248 3.9192
O 1.8785 -3.3171 1.1741
O 1.6604 -3.3171 3.8455

(3)
11
Lattice="3.6923 0.0000 0.0000 -0.2642 5.0853 0.0000 -1.7074 -2.2934 7.1732" Properties=species:S:1:pos:R:3 comment="Tb2NpO8 (PBE-GGA, optimized geometry)" e_form_raw_ev_per_atom=-2.34 total_magnetization_mub_per_fu=2.96 spacegroup="No. 2" volume_a3_per_cell=134.7 pbc="T T T"
Tb -0.0144 -0.0701 2.4936
Tb 1.7351 2.8620 4.6796
Np 1.7140 2.5427 0.0000
O -1.6188 -0.7970 6.5919
O 0.0542 2.1192 3.2644
O 0.1740 -0.7422 4.7515
O -0.1450 1.7308 5.9754
O 1.8657 1.0612 1.1977
O 1.5467 3.5341 2.4216
O 1.6665 0.6727 3.9088
O 3.3394 3.5890 0.5813

(4)
11
Lattice="6.8987 0.0000 0.0000 -3.4494 5.9745 0.0000 0.0000 0.0000 4.2364" Properties=species:S:1:pos:R:3 comment="TbNp2O8 (PBE-GGA, optimized geometry)" e_form_raw_ev_per_atom=-2.54 dos_at_fermi_per_ev_fu=7.74 total_magnetization_mub_per_fu=1.02 spacegroup="No. 147" volume_a3_per_cell=174.6 pbc="T T T"
Tb 0.0000 0.0000 0.0000
Np 0.0000 3.9830 3.1622
Np 3.4494 1.9915 1.0742
O -0.0048 2.0376 3.1709
O -1.6823 4.9599 3.1709
O 0.0000 3.9830 1.0341
O 1.7622 1.0230 1.0654
O 1.6872 4.9515 3.1709
O 3.4494 1.9915 3.2023
O 5.1317 1.0146 1.0654
O 3.4542 3.9369 1.0654

(5)
9
Lattice="3.8295 0.0000 0.0000 -1.9147 3.3164 0.0000 0.0000 0.0000 9.1777" Properties=species:S:1:pos:R:3 comment="TbNp2O6 (PBE-GGA, optimized geometry)" e_form_raw_ev_per_atom=-3.22 dos_at_fermi_per_ev_fu=13.87 total_magnetization_mub_per_fu=5.00 spacegroup="No. 164" volume_a3_per_cell=116.6 pbc="T T T"
Tb 0.0000 0.0000 0.0000
Np 0.0000 2.2110 6.1326
Np 1.9147 1.1055 3.0450
O 0.0000 0.0000 2.4219
O 0.0000 0.0000 6.7558
O 0.0000 2.2110 3.8455
O 0.0000 2.2110 8.2946
O 1.9147 1.1055 0.8831
O 1.9147 1.1055 5.3322

(6)
28
Lattice="5.0795 -6.6826 0.0000 5.0795 6.6826 0.0000 -0.0067 0.0000 6.6750" Properties=species:S:1:pos:R:3 comment="TbNp2O11 (PBE-GGA, optimized geometry)" e_form_raw_ev_per_atom=-2.12 total_magnetization_mub_per_fu=1.00 spacegroup="No. 5" volume_a3_per_cell=453.2 pbc="T T T"
Tb 0.0000 0.0000 0.0000
Tb 5.0762 -1.8561 3.3375
Np 2.4372 1.4178 2.9660
Np 2.6138 -3.2918 0.3485
Np 7.7152 1.4178 3.7090
Np 7.5386 -3.2918 6.3264
O 3.7915 4.7163 6.2954
O 1.2607 0.3828 1.8871
O 3.3549 2.3709 4.3446
O 3.3766 2.4038 1.0131
O 1.7075 -0.2963 4.7969
O 6.3609 4.7163 0.3796
O 2.8933 -0.3805 5.5035
O 3.7746 0.0930 2.9065
O 3.5299 -1.5591 5.2924
O 6.7758 2.4038 5.6618
O 6.7975 2.3709 2.3304
O 3.7153 -2.2837 1.5137
O 6.3778 0.0930 3.7685
O 3.8351 -3.8091 3.8966
O 3.8478 -4.7098 0.4829
O 7.2591 -0.3805 1.1715
O 6.6225 -1.5591 1.3825
O 6.4371 -2.2837 5.1613
O 8.8916 0.3828 4.7879
O 8.4448 -0.2963 1.8781
O 6.3172 -3.8091 2.7784
O 6.3045 -4.7098 6.1921

(7)
7
Lattice="-2.0532 3.3141 4.1677 2.0532 -3.3141 4.1677 2.0532 3.3141 -4.1677" Properties=species:S:1:pos:R:3 comment="TbNpO5 (PBE-GGA, optimized geometry)" e_form_raw_ev_per_atom=-2.86 total_magnetization_mub_per_fu=0.00 spacegroup="No. 71" volume_a3_per_cell=113.4 pbc="T T T"
Tb 0.0000 0.0000 0.0000
Np 0.0000 0.0000 4.1677
O 2.0532 1.2921 0.0000
O 0.0000 0.0000 2.2310
O 0.0000 3.3141 0.0000
O 0.0000 0.0000 6.1044
O 0.0000 2.0220 4.1677

(8)
17
Lattice="-4.1546 4.1546 4.0212 4.1546 -4.1546 4.0212 4.1546 4.1546 -4.0212" Properties=species:S:1:pos:R:3 comment="TbNp4O12 (PBE-GGA, optimized geometry)" e_form_raw_ev_per_atom=-2.96 dos_at_fermi_per_ev_fu=16.43 total_magnetization_mub_per_fu=7.00 spacegroup="No. 139" volume_a3_per_cell=277.6 pbc="T T T"
Tb 0.0000 0.0000 0.0000
Np 2.0773 2.0773 -2.0106
Np 2.0773 -2.0773 2.0106
Np -2.0773 2.0773 2.0106
Np 2.0773 2.0773 2.0106
O 4.1546 -2.2161 2.5397
O 1.9385 0.0000 1.4816
O 6.3707 0.0000 1.4816
O 2.4399 2.4399 0.0000
O 1.7147 -1.7147 4.0212
O 0.0000 1.9385 1.4816
O 4.1546 2.2161 2.5397
O -1.7147 1.7147 4.0212
O 1.7147 1.7147 4.0212
O -2.2161 4.1546 2.5397
O 2.2161 4.1546 2.5397
O 0.0000 6.3707 1.4816

(9)
12
Lattice="5.2335 0.0000 0.0000 0.0000 6.8536 0.0000 -0.2286 0.0000 5.2293" Properties=species:S:1:pos:R:3 comment="TbNpTl2O8 (PBE-GGA, optimized geometry)" e_form_raw_ev_per_atom=-1.93 total_magnetization_mub_per_fu=0.00 spacegroup="No. 10" volume_a3_per_cell=187.6 pbc="T T T"
Tb 0.0000 0.0000 0.0000
Np 0.0000 3.4268 0.0000
Tl 2.5024 1.6944 2.6147
Tl 2.5024 5.1592 2.6147
O 0.7111 1.9280 4.3342
O 0.7111 4.9255 4.3342
O 1.4808 3.4268 1.5522
O 1.5233 0.0000 1.5989
O 3.4816 0.0000 3.6304
O 3.5241 3.4268 3.6772
O 4.2937 1.9280 0.8952
O 4.2937 4.9255 0.8952

(10)
12
Lattice="3.5596 -3.6396 0.0000 3.5596 3.6396 0.0000 0.0000 0.0000 6.9736" Properties=species:S:1:pos:R:3 comment="Tb2TmNpO8 (PBE-GGA, optimized geometry)" e_form_raw_ev_per_atom=-3.20 total_magnetization_mub_per_fu=0.00 spacegroup="No. 65" volume_a3_per_cell=180.7 pbc="T T T"
Tb 0.0000 0.0000 1.6732
Tb 0.0000 0.0000 5.3003
Tm 3.5596 0.0000 0.0000
Np 3.5596 0.0000 3.4868
O 1.3936 0.0000 0.0000
O 1.5564 0.0000 3.4868
O 3.5596 1.3176 1.9108
O 3.5596 1.3176 5.0628
O 3.5596 -1.3176 1.9108
O 3.5596 -1.3176 5.0628
O 5.5627 0.0000 3.4868
O 5.7256 0.0000 0.0000

(11)
18
Lattice="5.7971 0.0000 0.0000 -2.8985 5.0204 0.0000 0.0000 0.0000 9.3864" Properties=species:S:1:pos:R:3 comment="TbNpUO6 (PBE-GGA, optimized geometry)" e_form_raw_ev_per_atom=-3.16 dos_at_fermi_per_ev_fu=14.50 total_magnetization_mub_per_fu=4.00 spacegroup="No. 163" volume_a3_per_cell=273.2 pbc="T T T"
Tb 0.0000 3.3469 2.3466
Tb 2.8985 1.6735 7.0398
Np 0.0000 0.0000 0.0000
Np 0.0000 0.0000 4.6932
U 0.0000 3.3469 7.0398
U 2.8985 1.6735 2.3466
O -0.8870 1.7278 5.9242
O -1.8457 3.3883 8.1553
O 0.8870 1.7278 8.1553
O -0.9587 4.9247 5.9242
O 1.9398 0.0957 1.2311
O 1.0528 1.6321 3.4621
O 1.8457 3.3883 5.9242
O 0.9587 4.9247 8.1553
O 3.8572 0.0957 3.4621
O 2.0115 3.2926 1.2311
O 4.7443 1.6321 1.2311
O 3.7855 3.2926 3.4621

Respective DFT total energy values: -8.608 -8.296 -7.961 -8.915 -9.919 -8.190 -8.914 -9.778 -7.097 -8.723 -9.669 eV per atom.